A geometry-optimized Dy8Tm2Sc structure. Source: the Alexandria database, functional PBE.

Calculated values
DFT formation energy	0.12	eV/atom
relative energy among the computed polymorphs	0.000	eV/atom
crystal system	orthorhombic
space-group type	Immm, No. 71

```
data_Dy8Tm2Sc
_cell_length_a 5.482
_cell_length_b 7.937
_cell_length_c 9.217
_cell_angle_alpha 115.50
_cell_angle_beta 107.28
_cell_angle_gamma 90.00
_space_group_name_H-M_alt 'P 1'
_space_group_IT_number 1
loop_
_space_group_symop_operation_xyz
'x,y,z'
loop_
_atom_site_label
_atom_site_type_symbol
_atom_site_fract_x
_atom_site_fract_y
_atom_site_fract_z
_atom_site_occupancy
Dy1 Dy 0.000 0.714 0.000 1
Dy2 Dy 0.165 0.165 0.330 1
Dy3 Dy 0.835 0.835 0.670 1
Dy4 Dy 0.366 0.157 0.732 1
Dy5 Dy 0.634 0.843 0.268 1
Dy6 Dy 0.000 0.286 0.000 1
Dy7 Dy 0.634 0.425 0.268 1
Dy8 Dy 0.366 0.575 0.732 1
Tm1 Tm 0.800 0.300 0.599 1
Tm2 Tm 0.200 0.700 0.401 1
Sc1 Sc 0.500 0.000 0.000 1
```

A geometry-optimized InPS structure. Source: the Alexandria database, functional PBE.

Calculated values
formation energy (no corrections)	-0.4	eV/f.u.
crystal system	triclinic
space-group type	P1, No. 1

```
data_InPS
_cell_length_a 4.040
_cell_length_b 5.396
_cell_length_c 6.859
_cell_angle_alpha 108.34
_cell_angle_beta 105.86
_cell_angle_gamma 91.15
_space_group_name_H-M_alt 'P 1'
_space_group_IT_number 1
loop_
_space_group_symop_operation_xyz
'x,y,z'
loop_
_atom_site_label
_atom_site_type_symbol
_atom_site_fract_x
_atom_site_fract_y
_atom_site_fract_z
_atom_site_occupancy
S1 S 0.424 0.310 0.059 1
S2 S 0.788 0.661 0.719 1
P1 P 0.094 0.376 0.262 1
P2 P 0.092 0.999 0.316 1
In1 In 0.426 0.774 0.997 1
In2 In 0.735 0.111 0.609 1
```

A geometry-optimized LiTaAs3 structure. Source: the Alexandria database, functional PBE.

Calculated values
DFT formation energy	0.77	eV/atom
relative energy among the computed polymorphs	0.721	eV/atom
crystal system	cubic
space-group type	Pm-3m, No. 221

```
data_LiTaAs3
_cell_length_a 4.476
_cell_length_b 4.476
_cell_length_c 4.476
_cell_angle_alpha 90.00
_cell_angle_beta 90.00
_cell_angle_gamma 90.00
_space_group_name_H-M_alt 'P 1'
_space_group_IT_number 1
loop_
_space_group_symop_operation_xyz
'x,y,z'
loop_
_atom_site_label
_atom_site_type_symbol
_atom_site_fract_x
_atom_site_fract_y
_atom_site_fract_z
_atom_site_occupancy
As1 As 0.000 0.000 0.500 1
As2 As 0.000 0.500 0.000 1
As3 As 0.500 0.000 0.000 1
Ta1 Ta 0.500 0.500 0.500 1
Li1 Li 0.000 0.000 0.000 1
```

A geometry-optimized UCoI6 structure. Source: the Alexandria database, functional PBE.

Calculated values
formation energy (no corrections)	-4.3	eV/f.u.
crystal system	monoclinic
space-group type	C2/m, No. 12

```
data_UCoI6
_cell_length_a 7.874
_cell_length_b 7.874
_cell_length_c 6.740
_cell_angle_alpha 90.94
_cell_angle_beta 90.94
_cell_angle_gamma 118.02
_space_group_name_H-M_alt 'P 1'
_space_group_IT_number 1
loop_
_space_group_symop_operation_xyz
'x,y,z'
loop_
_atom_site_label
_atom_site_type_symbol
_atom_site_fract_x
_atom_site_fract_y
_atom_site_fract_z
_atom_site_occupancy
I1 I 0.287 0.287 0.780 1
I2 I 0.713 0.713 0.220 1
I3 I 0.708 0.006 0.763 1
I4 I 0.006 0.708 0.763 1
I5 I 0.292 0.994 0.237 1
I6 I 0.994 0.292 0.237 1
Co1 Co 0.000 0.000 0.000 1
U1 U 0.000 0.000 0.500 1
```

A geometry-optimized NaIn2ReN4 structure. Source: the Alexandria database, functional PBE.

Calculated values
formation energy (no corrections)	0.4	eV/f.u.
crystal system	tetragonal
space-group type	I-42m, No. 121

```
data_NaIn2ReN4
_cell_length_a 5.209
_cell_length_b 5.209
_cell_length_c 6.066
_cell_angle_alpha 115.43
_cell_angle_beta 115.43
_cell_angle_gamma 90.00
_space_group_name_H-M_alt 'P 1'
_space_group_IT_number 1
loop_
_space_group_symop_operation_xyz
'x,y,z'
loop_
_atom_site_label
_atom_site_type_symbol
_atom_site_fract_x
_atom_site_fract_y
_atom_site_fract_z
_atom_site_occupancy
N1 N 0.412 0.820 0.231 1
N2 N 0.588 0.588 0.769 1
N3 N 0.180 0.180 0.769 1
N4 N 0.820 0.412 0.231 1
Re1 Re 0.500 0.500 0.000 1
Na1 Na 0.000 0.000 0.000 1
In1 In 0.250 0.750 0.500 1
In2 In 0.750 0.250 0.500 1
```

A geometry-optimized ErAl2Pb structure. Source: the Alexandria database, functional PBE.

Calculated values
DFT formation energy	-0.23	eV/atom
crystal system	tetragonal
space-group type	P4/mmm, No. 123

```
data_ErAl2Pb
_cell_length_a 4.442
_cell_length_b 4.480
_cell_length_c 4.480
_cell_angle_alpha 90.00
_cell_angle_beta 90.00
_cell_angle_gamma 90.00
_space_group_name_H-M_alt 'P 1'
_space_group_IT_number 1
loop_
_space_group_symop_operation_xyz
'x,y,z'
loop_
_atom_site_label
_atom_site_type_symbol
_atom_site_fract_x
_atom_site_fract_y
_atom_site_fract_z
_atom_site_occupancy
Er1 Er 0.500 0.500 0.500 1
Al1 Al 0.000 0.000 0.500 1
Al2 Al 0.000 0.500 0.000 1
Pb1 Pb 0.500 0.000 0.000 1
```

A geometry-optimized LiMgPt3 structure. Source: the Alexandria database, functional PBE.

Calculated values
DFT formation energy	-0.03	eV/atom
relative energy among the computed polymorphs	0.000	eV/atom
crystal system	cubic
space-group type	Pm-3m, No. 221

```
data_LiMgPt3
_cell_length_a 4.274
_cell_length_b 4.274
_cell_length_c 4.274
_cell_angle_alpha 90.00
_cell_angle_beta 90.00
_cell_angle_gamma 90.00
_space_group_name_H-M_alt 'P 1'
_space_group_IT_number 1
loop_
_space_group_symop_operation_xyz
'x,y,z'
loop_
_atom_site_label
_atom_site_type_symbol
_atom_site_fract_x
_atom_site_fract_y
_atom_site_fract_z
_atom_site_occupancy
Mg1 Mg 0.500 0.500 0.500 1
Pt1 Pt 0.500 0.000 0.000 1
Pt2 Pt 0.000 0.500 0.000 1
Pt3 Pt 0.000 0.000 0.500 1
Li1 Li 0.000 0.000 0.000 1
```

A geometry-optimized VZnSeN2 structure. Source: the Alexandria database, functional PBE.

Calculated values
relative energy among the computed polymorphs	1.331	eV/atom
formation energy (no corrections)	7.6	eV/f.u.
crystal system	tetragonal
space-group type	P4/mmm, No. 123

```
data_VZnSeN2
_cell_length_a 3.764
_cell_length_b 3.764
_cell_length_c 5.103
_cell_angle_alpha 90.00
_cell_angle_beta 90.00
_cell_angle_gamma 90.00
_space_group_name_H-M_alt 'P 1'
_space_group_IT_number 1
loop_
_space_group_symop_operation_xyz
'x,y,z'
loop_
_atom_site_label
_atom_site_type_symbol
_atom_site_fract_x
_atom_site_fract_y
_atom_site_fract_z
_atom_site_occupancy
Zn1 Zn 0.000 0.000 0.000 1
N1 N 0.000 0.500 0.000 1
N2 N 0.500 0.000 0.000 1
Se1 Se 0.000 0.000 0.500 1
V1 V 0.500 0.500 0.500 1
```

A geometry-optimized Na2TlGeAu structure. Source: the Alexandria database, functional PBE.

Calculated values
DFT formation energy	-0.05	eV/atom
crystal system	tetragonal
space-group type	P4/mmm, No. 123

```
data_Na2TlGeAu
_cell_length_a 5.597
_cell_length_b 5.597
_cell_length_c 4.752
_cell_angle_alpha 90.00
_cell_angle_beta 90.00
_cell_angle_gamma 90.00
_space_group_name_H-M_alt 'P 1'
_space_group_IT_number 1
loop_
_space_group_symop_operation_xyz
'x,y,z'
loop_
_atom_site_label
_atom_site_type_symbol
_atom_site_fract_x
_atom_site_fract_y
_atom_site_fract_z
_atom_site_occupancy
Na1 Na 0.500 0.000 0.000 1
Na2 Na 0.000 0.500 0.000 1
Tl1 Tl 0.500 0.500 0.500 1
Ge1 Ge 0.000 0.000 0.500 1
Au1 Au 0.000 0.000 0.000 1
```

A geometry-optimized CdCuIO2 structure. Source: the Alexandria database, functional PBE.

Calculated values
relative energy among the computed polymorphs	0.093	eV/atom
formation energy (no corrections)	1.4	eV/f.u.
crystal system	tetragonal
space-group type	P4/mmm, No. 123

```
data_CdCuIO2
_cell_length_a 4.077
_cell_length_b 4.077
_cell_length_c 7.000
_cell_angle_alpha 90.00
_cell_angle_beta 90.00
_cell_angle_gamma 90.00
_space_group_name_H-M_alt 'P 1'
_space_group_IT_number 1
loop_
_space_group_symop_operation_xyz
'x,y,z'
loop_
_atom_site_label
_atom_site_type_symbol
_atom_site_fract_x
_atom_site_fract_y
_atom_site_fract_z
_atom_site_occupancy
O1 O 0.000 0.500 0.000 1
O2 O 0.500 0.000 0.000 1
Cu1 Cu 0.500 0.500 0.500 1
I1 I 0.000 0.000 0.500 1
Cd1 Cd 0.000 0.000 0.000 1
```

A geometry-optimized ErThAu6 structure. Source: the Alexandria database, functional PBE.

Calculated values
DFT formation energy	-0.64	eV/atom
crystal system	monoclinic
space-group type	C2/m, No. 12

```
data_ErThAu6
_cell_length_a 4.921
_cell_length_b 4.922
_cell_length_c 8.540
_cell_angle_alpha 90.03
_cell_angle_beta 73.26
_cell_angle_gamma 60.01
_space_group_name_H-M_alt 'P 1'
_space_group_IT_number 1
loop_
_space_group_symop_operation_xyz
'x,y,z'
loop_
_atom_site_label
_atom_site_type_symbol
_atom_site_fract_x
_atom_site_fract_y
_atom_site_fract_z
_atom_site_occupancy
Au1 Au 0.759 0.120 0.362 1
Au2 Au 0.257 0.371 0.115 1
Au3 Au 0.241 0.880 0.638 1
Au4 Au 0.501 0.251 0.747 1
Au5 Au 0.499 0.749 0.253 1
Au6 Au 0.743 0.629 0.885 1
Th1 Th 0.000 0.500 0.500 1
Er1 Er 0.000 0.000 0.000 1
```

A geometry-optimized BaBi3N structure. Source: the Alexandria database, functional PBE.

Calculated values
relative energy among the computed polymorphs	0.000	eV/atom
formation energy (no corrections)	0.7	eV/f.u.
crystal system	cubic
space-group type	Pm-3m, No. 221

```
data_BaBi3N
_cell_length_a 5.182
_cell_length_b 5.182
_cell_length_c 5.182
_cell_angle_alpha 90.00
_cell_angle_beta 90.00
_cell_angle_gamma 90.00
_space_group_name_H-M_alt 'P 1'
_space_group_IT_number 1
loop_
_space_group_symop_operation_xyz
'x,y,z'
loop_
_atom_site_label
_atom_site_type_symbol
_atom_site_fract_x
_atom_site_fract_y
_atom_site_fract_z
_atom_site_occupancy
N1 N 0.000 0.000 0.000 1
Bi1 Bi 0.000 0.000 0.500 1
Bi2 Bi 0.500 0.000 0.000 1
Bi3 Bi 0.000 0.500 0.000 1
Ba1 Ba 0.500 0.500 0.500 1
```